This record from Alexandria describes an optimized crystal structure of Pr2AgMoO6. The functional is GGA+U.

The structure belongs to space group P4mm (No. 99); the cell edges are 5.429, 5.429 and 5.445 Å and the angles 90.00°, 90.00° and 90.00°. The distinct sites, in fractional coordinates, are Pr at (0.000, 0.500, 0.000), Ag at (0.000, 0.000, 0.503), Mo at (0.500, 0.500, 0.596), O at (0.000, 0.000, 0.113), O at (0.269, 0.269, 0.749) and O at (0.500, 0.500, 0.253).

The size of the total moment comes out at 0.99 μB/f.u. For the uncorrected energy, the calculation gives -70.32 eV per cell. The calculation puts the density at 6.019 Mg/m³. The calculated volume comes out at 160 Å³ per cell.